Record 1
A plane-wave DFT calculation with GGA-PBE was carried out for an optimized crystal structure of TbAsO2.

Cell and atoms, written as POSCAR:
```
TbAsO2
1.0
-3.979 3.979 4.144
3.979 -3.979 4.144
3.979 3.979 -4.144
Tb As O
4 4 8
Cartesian
0.000 0.000 0.000 Tb
1.990 1.990 -2.072 Tb
1.990 -1.990 2.072 Tb
0.000 3.979 0.000 Tb
3.979 0.000 0.000 As
-1.990 1.990 2.072 As
0.000 0.000 4.144 As
1.990 1.990 2.072 As
3.979 -0.670 1.987 O
3.979 3.310 -1.987 O
1.320 1.990 0.085 O
2.660 -1.990 4.228 O
1.320 5.969 -0.085 O
2.660 1.990 4.059 O
0.000 0.670 6.131 O
0.000 4.649 2.156 O
```

Results
Energy above the lowest structure with this stoichiometry = 0 meV/atom
Final energy = -6.598 eV/atom
E_form (uncorrected) = -1.799 eV/atom
Space-group type = No. 141

---

Record 2
A plane-wave DFT calculation with GGA-PBE was carried out for an optimized crystal structure of TbAsO2.

Cell and atoms, written as POSCAR:
```
TbAsO2
1.0
1.740 1.004 6.480
-1.740 1.004 6.480
0.000 -2.009 6.480
Tb As O
1 1 2
Cartesian
0.000 0.000 0.000 Tb
0.000 0.000 9.720 As
0.000 0.000 2.208 O
0.000 0.000 17.232 O
```

Results
Energy above the lowest structure with this stoichiometry = 704 meV/atom
Final energy = -5.894 eV/atom
E_form (uncorrected) = -1.095 eV/atom
Space-group type = No. 166

---

Record 3
A plane-wave DFT calculation with GGA-PBE was carried out for an optimized crystal structure of Tb3AsO6.

Cell and atoms, written as POSCAR:
```
Tb3AsO6
1.0
4.448 -5.584 0.000
4.448 5.584 0.000
0.000 0.000 5.905
Tb As O
6 2 12
Cartesian
4.448 4.503 2.952 Tb
2.711 1.205 3.176 Tb
2.711 -1.205 0.223 Tb
6.186 1.205 3.176 Tb
6.186 -1.205 0.223 Tb
4.448 -4.503 0.000 Tb
4.448 1.957 0.512 As
4.448 -1.957 3.464 As
3.074 2.848 1.318 O
1.453 0.143 1.573 O
1.453 -0.143 4.526 O
4.448 2.470 3.722 O
5.823 2.848 1.318 O
4.448 0.418 1.588 O
4.448 -0.418 4.541 O
3.074 -2.848 4.271 O
4.448 -2.470 0.770 O
7.444 0.143 1.573 O
7.444 -0.143 4.526 O
5.823 -2.848 4.271 O
```

Results
Final energy = -7.779 eV/atom
E_form (uncorrected) = -2.950 eV/atom
Space-group type = No. 36